Entry 1:
! KTmAgS2 | Alexandria | PBE-GGA | relaxed; values from VASP
&SYSTEM
  ibrav = 0, nat = 10, ntyp = 4
/
ATOMIC_SPECIES
K 39.10 K.upf
Tm 168.93 Tm.upf
Ag 107.87 Ag.upf
S 32.06 S.upf
CELL_PARAMETERS angstrom
-0.463 -2.738 -4.174
7.337 -0.566 -0.443
-1.397 -6.141 4.182
ATOMIC_POSITIONS angstrom
K 2.557 -5.267 2.339
K 2.920 -4.178 -2.774
Tm -0.578 -2.888 -1.018
Tm -1.282 -5.990 1.026
Ag 0.000 0.000 0.000
Ag -0.699 -3.071 2.091
S 3.933 -8.052 1.109
S 0.734 -5.122 -0.458
S 4.743 -4.323 0.023
S 1.544 -1.392 -1.544
! space-group type = P2/c
! size of the total moment = 0.00 μB/f.u.
! E_form (uncorrected) = -1.10 eV per atom

Entry 2:
! K3UAg2S6 | Alexandria | PBE-GGA | relaxed; values from VASP
&SYSTEM
  ibrav = 0, nat = 12, ntyp = 4
/
ATOMIC_SPECIES
K 39.10 K.upf
U 238.03 U.upf
Ag 107.87 Ag.upf
S 32.06 S.upf
CELL_PARAMETERS angstrom
-5.480 4.161 2.318
3.747 -4.804 3.950
5.274 5.390 -0.212
ATOMIC_POSITIONS angstrom
K 4.688 -0.460 3.544
K -1.147 5.208 2.512
K 1.770 2.374 3.028
U 0.000 0.000 0.000
Ag 0.279 -1.434 3.337
Ag -2.012 0.791 2.931
S 1.629 5.179 4.344
S -0.109 0.779 4.897
S 1.912 -0.432 1.712
S 4.297 2.588 4.816
S 3.650 3.968 1.159
S -0.756 2.160 1.240
! space-group type = C2/m
! size of the total moment = 0.00 μB/f.u.
! E_form (uncorrected) = -0.87 eV per atom

Entry 3:
! K2U3AgS8 | Alexandria | PBE-GGA | relaxed; values from VASP
&SYSTEM
  ibrav = 0, nat = 14, ntyp = 4
/
ATOMIC_SPECIES
K 39.10 K.upf
U 238.03 U.upf
Ag 107.87 Ag.upf
S 32.06 S.upf
CELL_PARAMETERS angstrom
8.042 0.000 0.000
4.021 6.965 0.000
4.021 2.322 7.800
ATOMIC_POSITIONS angstrom
K 4.021 2.322 4.722
K 8.042 4.643 4.086
U 8.042 6.962 0.148
U 10.050 3.484 0.148
U 6.034 3.484 0.148
Ag 12.063 6.965 1.247
S 4.021 2.322 1.572
S 12.063 6.965 6.550
S 6.210 3.586 6.520
S 9.874 3.586 6.520
S 8.042 6.758 6.520
S 8.042 2.506 1.630
S 6.191 5.712 1.630
S 9.893 5.712 1.630
! space-group type = R3m
! size of the total moment = 5.00 μB/f.u.
! E_form (uncorrected) = -1.24 eV per atom

Entry 4:
! K4U3AgS8 | Alexandria | PBE-GGA | relaxed; values from VASP
&SYSTEM
  ibrav = 0, nat = 16, ntyp = 4
/
ATOMIC_SPECIES
K 39.10 K.upf
U 238.03 U.upf
Ag 107.87 Ag.upf
S 32.06 S.upf
CELL_PARAMETERS angstrom
8.103 0.000 0.000
0.000 8.726 0.429
-4.052 -4.047 5.736
ATOMIC_POSITIONS angstrom
K 4.052 0.000 0.000
K 2.026 -2.023 2.868
K 0.000 0.000 0.000
K -2.026 -2.023 2.868
U 4.052 4.363 0.215
U 2.026 2.340 3.083
U -2.026 2.340 3.083
Ag 0.000 4.363 0.215
S -1.936 2.238 5.811
S 0.000 4.171 3.073
S 0.000 0.439 3.174
S 1.936 2.238 5.811
S 2.116 2.441 0.355
S 4.052 4.240 2.992
S 4.052 0.509 3.092
S 5.987 2.441 0.355
! space-group type = R-3m
! size of the total moment = 7.00 μB/f.u.
! E_form (uncorrected) = -1.27 eV per atom

Entry 5:
! K3U2AgS6 | Alexandria | PBE-GGA | relaxed; values from VASP
&SYSTEM
  ibrav = 0, nat = 12, ntyp = 4
/
ATOMIC_SPECIES
K 39.10 K.upf
U 238.03 U.upf
Ag 107.87 Ag.upf
S 32.06 S.upf
CELL_PARAMETERS angstrom
-5.875 -0.612 3.788
6.257 -0.170 3.172
-0.350 7.566 -1.465
ATOMIC_POSITIONS angstrom
K 4.168 3.543 2.536
K -4.135 3.241 2.958
K 0.016 3.392 2.747
U 2.222 -0.317 3.377
U -1.840 -0.465 3.583
Ag 0.000 0.000 0.000
S -2.146 5.350 4.194
S 0.203 0.959 4.678
S 2.178 1.434 1.301
S 2.166 5.507 3.975
S -0.170 5.825 0.817
S -2.134 1.277 1.520
! space-group type = C2/m
! size of the total moment = 4.00 μB/f.u.
! E_form (uncorrected) = -1.24 eV per atom

Entry 6:
! KUAg2S6 | Alexandria | PBE-GGA | relaxed; values from VASP
&SYSTEM
  ibrav = 0, nat = 20, ntyp = 4
/
ATOMIC_SPECIES
K 39.10 K.upf
U 238.03 U.upf
Ag 107.87 Ag.upf
S 32.06 S.upf
CELL_PARAMETERS angstrom
8.512 0.225 0.233
3.023 9.157 -0.400
3.023 -0.740 9.136
ATOMIC_POSITIONS angstrom
K 5.151 8.267 0.570
K 9.407 0.376 8.399
U 5.151 1.450 7.139
U 9.407 7.193 1.830
Ag 8.573 7.619 5.211
Ag 1.729 3.605 1.045
Ag 5.985 1.023 3.758
Ag 12.829 5.037 7.924
S 6.878 8.452 6.770
S 3.425 2.078 0.155
S 7.681 0.190 2.199
S 11.133 6.564 8.814
S 7.359 8.192 2.903
S 2.943 5.933 0.558
S 7.199 0.450 6.066
S 11.615 2.709 8.411
S 5.809 3.821 5.955
S 4.493 2.721 4.814
S 8.749 4.822 3.014
S 10.065 5.922 4.155
! space-group type = C2/c
! size of the total moment = 0.00 μB/f.u.
! E_form (uncorrected) = -0.60 eV per atom

Entry 7:
! K2UAgS5 | Alexandria | PBE-GGA | relaxed; values from VASP
&SYSTEM
  ibrav = 0, nat = 18, ntyp = 4
/
ATOMIC_SPECIES
K 39.10 K.upf
U 238.03 U.upf
Ag 107.87 Ag.upf
S 32.06 S.upf
CELL_PARAMETERS angstrom
-1.025 2.400 -3.069
-7.848 0.636 5.762
5.464 10.382 6.296
ATOMIC_POSITIONS angstrom
K -2.344 11.080 6.805
K 1.935 7.416 5.154
K -0.319 3.757 3.045
K -6.142 4.487 2.916
U -2.525 7.641 4.176
U -3.420 0.959 1.892
Ag 3.421 11.184 4.961
Ag -4.790 6.109 6.378
S -5.613 1.300 2.891
S 0.893 11.207 5.823
S 3.736 9.387 3.451
S -1.248 7.720 6.455
S -4.563 8.428 5.472
S -0.465 7.047 3.024
S -2.765 5.132 4.937
S -6.736 4.808 6.010
S -3.331 3.475 1.186
S -1.061 0.781 0.965
! space-group type = Cmc2_1
! size of the total moment = 0.00 μB/f.u.
! E_form (uncorrected) = -0.89 eV per atom

Entry 8:
! K4U3AgS12 | Alexandria | PBE-GGA | relaxed; values from VASP
&SYSTEM
  ibrav = 0, nat = 20, ntyp = 4
/
ATOMIC_SPECIES
K 39.10 K.upf
U 238.03 U.upf
Ag 107.87 Ag.upf
S 32.06 S.upf
CELL_PARAMETERS angstrom
8.934 0.000 0.000
-2.978 8.423 0.000
-2.978 -4.212 7.295
ATOMIC_POSITIONS angstrom
K 1.489 2.106 3.647
K -1.489 -2.106 3.647
K 4.467 0.000 0.000
K -1.489 4.212 0.000
U 2.978 -2.106 3.647
U 2.978 4.212 0.000
U -2.978 2.106 3.647
Ag 0.000 0.000 0.000
S -1.489 1.053 5.471
S 4.391 -3.105 5.378
S 1.565 -1.106 1.916
S 4.467 3.159 1.824
S 4.391 6.210 0.000
S 1.565 2.213 0.000
S 4.467 0.000 3.647
S -1.489 4.212 3.647
S 1.489 -1.053 5.471
S -4.391 3.105 5.378
S 1.489 5.264 1.824
S -1.565 1.106 1.916
! space-group type = Im-3m
! size of the total moment = 0.00 μB/f.u.
! E_form (uncorrected) = -1.09 eV per atom